# 1
VASP calculation (GGA-PBE) on CePrTh14 after structural relaxation.

Lattice parameters (Å, degrees): 7.1041 7.1041 10.1549 90.00 90.00 90.00
Atoms (fractional coordinates):
Ce1 0.8749 0.1251 0.0000
Pr1 0.3750 0.6250 0.0000
Th1 0.3749 0.6251 0.5000
Th2 0.8752 0.1248 0.5000
Th3 0.8749 0.6249 0.0000
Th4 0.8750 0.6249 0.5000
Th5 0.3751 0.1251 0.0000
Th6 0.3751 0.1250 0.5000
Th7 0.6266 0.8766 0.7489
Th8 0.6266 0.8766 0.2511
Th9 0.1234 0.3734 0.7489
Th10 0.1234 0.3734 0.2511
Th11 0.1231 0.8769 0.7491
Th12 0.1231 0.8769 0.2509
Th13 0.6269 0.3731 0.7488
Th14 0.6269 0.3731 0.2512

Summary:
As for the density of states at the Fermi level: 29.11 states/eV/f.u. The value obtained for the formation energy is 0.04 eV per atom. As for the symmetry: P4/mmm, No. 123.

=====

# 2
VASP calculation (GGA-PBE) on SiTePb2 after structural relaxation.

Lattice parameters (Å, degrees): 5.4360 5.4360 3.9035 90.03 90.03 102.44
Atoms (fractional coordinates):
Pb1 0.0000 0.0000 0.0000
Pb2 0.5000 0.5000 0.0000
Si1 0.5000 0.0000 0.5000
Te1 0.0000 0.5000 0.5000

Summary:
As for the density of states at the Fermi level: 1.20 states/eV/f.u. The calculation puts the energy above the most stable polymorph in this dataset at 0.411 eV/f.u. As for the symmetry: Cmmm, No. 65.

=====

# 3
VASP calculation (GGA-PBE) on Be3Zn4 after structural relaxation.

Lattice parameters (Å, degrees): 9.3084 9.3084 9.3084 161.12 161.12 26.83
Atoms (fractional coordinates):
Be1 0.0000 0.0000 0.0000
Be2 0.7192 0.7192 0.0000
Be3 0.2808 0.2808 0.0000
Zn1 0.8486 0.8486 0.0000
Zn2 0.1514 0.1514 0.0000
Zn3 0.5696 0.5696 0.0000
Zn4 0.4304 0.4304 0.0000

Summary:
As for the density of states at the Fermi level: 1.24 states/eV/f.u. The calculation puts the energy above the most stable polymorph in this dataset at 0.562 eV/f.u. The value obtained for the formation energy is 0.22 eV per atom. As for the symmetry: I4/mmm, No. 139.

=====

# 4
VASP calculation (GGA-PBE) on RbLi2TcBr8 after structural relaxation.

Lattice parameters (Å, degrees): 6.9186 6.0728 9.5963 68.19 91.50 96.81
Each line ends with the local moment (μB).
Atoms (fractional coordinates):
Rb1 0.0000 0.0000 0.5000  0.00
Li1 0.5783 0.4753 0.8036  0.00
Li2 0.4217 0.5247 0.1964  0.00
Tc1 0.0000 0.0000 0.0000  2.25
Br1 0.0949 0.6671 0.2393  0.03
Br2 0.6828 0.7497 0.9751  0.03
Br3 0.8143 0.1496 0.1563  0.11
Br4 0.9051 0.3329 0.7607  0.03
Br5 0.3172 0.2503 0.0249  0.03
Br6 0.1857 0.8504 0.8437  0.11
Br7 0.5019 0.7343 0.5221  0.08
Br8 0.4981 0.2657 0.4779  0.08

Summary:
As for the density of states at the Fermi level: 1.47 states/eV/f.u. The energy comes out at -39.309 eV for the cell shown. As for the symmetry: P-1, No. 2.

=====

# 5
VASP calculation (GGA-PBE) on KTlCo3 after structural relaxation.

Lattice parameters (Å, degrees): 5.0456 5.0456 5.0456 90.00 90.00 90.00
Each line ends with the local moment (μB).
Atoms (fractional coordinates):
Tl1 0.0000 0.0000 0.0000  -0.06
Co1 0.0000 0.5000 0.0000  1.92
Co2 0.0000 0.0000 0.5000  1.93
Co3 0.5000 0.0000 0.0000  1.78
K1 0.5000 0.5000 0.5000  -0.01

Summary:
As for the density of states at the Fermi level: 21.93 states/eV/f.u. The calculation puts the energy above the most stable polymorph in this dataset at 0.000 eV/f.u. The value obtained for the formation energy is 1.44 eV per atom. As for the symmetry: Pm-3m, No. 221.

=====

# 6
VASP calculation (GGA-PBE) on YPt12 after structural relaxation.

Lattice parameters (Å, degrees): 5.4130 6.9597 6.9597 81.30 67.11 67.11
Atoms (fractional coordinates):
Y1 0.0000 0.0000 0.0000
Pt1 0.5000 0.0000 0.5000
Pt2 0.0000 0.0000 0.5000
Pt3 0.5000 0.5000 0.0000
Pt4 0.0000 0.5000 0.0000
Pt5 0.0000 0.6561 0.3439
Pt6 0.0000 0.3439 0.6561
Pt7 0.6561 0.3439 0.3439
Pt8 0.3439 0.6561 0.6561
Pt9 0.5000 0.2159 0.7841
Pt10 0.5000 0.7841 0.2159
Pt11 0.7159 0.7841 0.7841
Pt12 0.2841 0.2159 0.2159

Summary:
As for the density of states at the Fermi level: 14.20 states/eV/f.u. The value obtained for the formation energy is -0.25 eV per atom. As for the symmetry: I4/mmm, No. 139.